# PmTm8Pb6, optimized geometry, DFT PBE
# formation energy from the elements	-300	meV per atom
# magnetization	0.00	μB per formula unit
data_PmTm8Pb6
_chemical_formula_sum 'Pm3 Tm24 Pb18'
_cell_length_a 9.0583
_cell_length_b 9.0583
_cell_length_c 19.6541
_cell_angle_alpha 90.00
_cell_angle_beta 90.00
_cell_angle_gamma 120.00
_symmetry_space_group_name_H-M 'R -3'
_symmetry_Int_Tables_number 148
_symmetry_space_group_name_Hall '-R 3'
loop_
_atom_site_label
_atom_site_fract_x
_atom_site_fract_y
_atom_site_fract_z
_atom_site_occupancy
Pm1 0.0000 0.0000 0.0000 1
Tm1 0.0000 0.0000 0.3331 1
Tm2 0.9995 0.3295 0.8945 1
Pb1 0.9999 0.3390 0.0693 1